# TlFe2Se2O6, relaxed, DFT GGA+U
# Total magnetic moment, Bohr magnetons per cell: 15.8
# Raw total energy, Ry per atom: -0.3952
data_TlFe2Se2O6
_cell_length_a 5.832
_cell_length_b 10.213
_cell_length_c 5.979
_cell_angle_alpha 90.00
_cell_angle_beta 112.25
_cell_angle_gamma 90.00
_symmetry_space_group_name_H-M 'C 1 2/m 1'
_symmetry_Int_Tables_number 12
loop_
_symmetry_equiv_pos_as_xyz
'x,y,z'
'-x,-y,-z'
'-x,y,-z'
'x,-y,z'
'x+1/2,y+1/2,z'
'-x+1/2,-y+1/2,-z'
'-x+1/2,y+1/2,-z'
'x+1/2,-y+1/2,z'
loop_
_atom_site_label
_atom_site_fract_x
_atom_site_fract_y
_atom_site_fract_z
_atom_site_occupancy
Tl1 0.000 0.000 0.000 1
Fe1 0.000 0.344 0.000 1
Se1 0.000 0.280 0.500 1
O1 0.107 0.188 0.780 1
O2 0.121 0.500 0.842 1